No. 1
Computed, not measured: a crystal of SrTeCl2 relaxed with PBEsol at the SCAN level of DFT.

Results
Space group ... P4/mmm, No. 123
ΔE to the lowest computed polymorph ... 112 meV/atom

a = 4.794 Å, b = 4.794 Å, c = 4.410 Å
α = 90.00°, β = 90.00°, γ = 90.00°
Fractional coordinates of all 4 atoms:
Sr1 0.000 0.000 0.000
Te1 0.500 0.500 0.000
Cl1 0.000 0.500 0.500
Cl2 0.500 0.000 0.500

---

No. 2
Computed, not measured: a crystal of SrTeCl2 relaxed with PBEsol at the SCAN level of DFT.

Results
Space group ... I-4m2, No. 119
ΔE to the lowest computed polymorph ... 0 meV/atom

a = 6.495 Å, b = 6.495 Å, c = 6.495 Å
α = 141.98°, β = 141.98°, γ = 54.85°
Fractional coordinates of all 4 atoms:
Sr1 0.000 0.000 0.000
Te1 0.750 0.250 0.500
Cl1 0.250 0.750 0.500
Cl2 0.500 0.500 0.000

---

We obtain formation energy from raw total energies values of -127; -138 kJ/mol of atoms for the records listed above, in that order.